(1)
LaCdP2 | PBE-GGA | relaxed

a b c (Å): 4.1701 4.1701 5.7559
angles (deg): 90.00 90.00 90.00
Positions (direct):
P 0.0000 0.0000 0.8750
P 0.5000 0.5000 0.3750
Cd 0.0000 0.0000 0.3750
La 0.5000 0.5000 0.8750

Results
formation energy	-0.52	eV per atom

(2)
Tm6Mg2Sc | PBE-GGA | relaxed

a b c (Å): 7.0764 7.0764 7.5149
angles (deg): 61.91 61.91 60.00
Positions (direct):
Tm 0.2853 0.2456 0.6973
Mg 0.7549 0.7549 0.7352
Tm 0.7718 0.2853 0.6973
Tm 0.0727 0.6042 0.2942
Tm 0.6042 0.0289 0.2942
Sc 0.3216 0.3216 0.0353
Tm 0.0289 0.0727 0.2942
Mg 0.5807 0.5807 0.2580
Tm 0.2456 0.7718 0.6973

Results
formation energy	0.44	eV per atom

(3)
Ba3MgGa3 | PBE-GGA | relaxed

a b c (Å): 4.9405 6.7574 15.1021
angles (deg): 90.00 90.00 111.44
Positions (direct):
Ba 0.2360 0.4720 0.6060
Ga 0.8295 0.6590 0.7500
Ba 0.2360 0.4720 0.8940
Mg 0.5000 0.0000 0.0000
Ba 0.5250 0.0499 0.7500
Ga 0.0606 0.1211 0.0879
Ga 0.1705 0.3410 0.2500
Ga 0.9394 0.8789 0.9121
Ga 0.0606 0.1211 0.4121
Mg 0.5000 0.0000 0.5000
Ba 0.4750 0.9501 0.2500
Ba 0.7640 0.5280 0.1060
Ba 0.7640 0.5280 0.3940
Ga 0.9394 0.8789 0.5879

Results
formation energy	-0.27	eV per atom

(4)
LiCoAg2 | PBE-GGA | relaxed

a b c (Å): 4.5772 2.7892 4.6824
angles (deg): 89.99 90.00 90.00
Site moments in Bohr magnetons follow the coordinates.
Positions (direct):
Co 0.0000 0.6248 0.4252  1.63
Ag 0.0000 0.1250 0.9241  0.00
Li 0.5000 0.6250 0.8195  -0.01
Ag 0.5000 0.1252 0.3312  0.01

Results
formation energy	0.14	eV per atom

(5)
ZnRhCl6 | PBE-GGA | relaxed

a b c (Å): 6.9240 6.2344 6.6352
angles (deg): 100.42 105.17 123.62
Site moments in Bohr magnetons follow the coordinates.
Positions (direct):
Cl 0.3898 0.1390 0.2755  0.01
Zn 0.0000 0.0000 0.0000  0.00
Cl 0.7225 0.4442 0.0000  0.12
Cl 0.8857 0.1366 0.2755  0.01
Cl 0.2775 0.5558 0.0000  0.12
Cl 0.1143 0.8634 0.7245  0.01
Cl 0.6102 0.8610 0.7245  0.01
Rh 0.5000 0.0000 0.0000  0.35

Results
uncorrected formation energy	-0.64	eV/atom

(6)
Mg2PHPd6 | PBE-GGA | relaxed

a b c (Å): 5.6939 6.3719 5.7728
angles (deg): 123.82 112.71 94.45
Positions (direct):
Pd 0.7188 0.2030 0.9866
P 0.4999 0.5002 0.9996
Mg 0.2207 0.7143 0.4380
Pd 0.8283 0.8291 0.1224
Pd 0.2806 0.7979 0.0129
Pd 0.1707 0.1723 0.8770
Mg 0.7785 0.2871 0.5618
H 0.0024 0.9987 0.0002
Pd 0.2701 0.3102 0.4674
Pd 0.7290 0.6911 0.5320

Results
final energy	-48.426	eV/f.u.

Number 1: spin magnetization 0.0 μB per cell, D(E_F) 2.45 states/eV/cell. Number 2: spin magnetization 0.0 μB per cell, D(E_F) 12.51 states/eV/cell. Number 3: spin magnetization 0.0 μB per cell, D(E_F) 17.55 states/eV/cell. Number 4: spin magnetization 1.5 μB per cell, D(E_F) 4.06 states/eV/cell. Number 5: spin magnetization 0.7 μB per cell, D(E_F) 5.71 states/eV/cell. Number 6: spin magnetization 0.0 μB per cell, D(E_F) 2.52 states/eV/cell.